The following is a DFT calculation (PBE-GGA) of an optimized crystal structure of Rb2InTc2.

Properties
Calculated formation energy (eV/f.u.): 3.47
Energy above the lowest structure with this stoichiometry (eV per atom): 0.000
SG: I4/mmm, No. 139
Total magnetic moment (μB per formula unit): 0.000

Cell: 3.484 3.484 13.033 Å, 82.32 82.32 90.00°
Sites, in units of the cell vectors:
Tc  0.750  0.250  0.500
Tc  0.250  0.750  0.500
Rb  0.376  0.376  0.247
Rb  0.624  0.624  0.753
In  0.000  0.000  0.000